(1)
MgSc3 at its PBEsol-relaxed geometry. Source: Alexandria, functional SCAN.

Cell: 3.2007 4.5877 6.3807 Å, 90.00 90.00 90.00°
Positions (direct):
Sc 0.0000 0.0000 0.5000
Sc 0.5000 0.5000 0.2560
Sc 0.5000 0.5000 0.7440
Mg 0.0000 0.0000 0.0000

* SG: Pmmm
* volume: 23.42 Å³/atom
* total DFT energy (no corrections): -11.898 eV/atom
* crystal system: orthorhombic
* DOS at the Fermi energy: 4.6 states/eV/f.u.
* energy of formation: 0.023 eV per atom
* total magnetization: 2.0 Bohr magnetons per cell
* excess energy over the best structure of this formula in the dataset: 38 meV/atom

***

(2)
MgAlW2 at its PBEsol-relaxed geometry. Source: Alexandria, functional SCAN.

Cell: 2.7104 2.7104 8.9489 Å, 90.00 90.00 90.00°
Positions (direct):
Al 0.0000 0.0000 0.4832
W 0.5000 0.5000 0.2578
W 0.0000 0.0000 0.0058
Mg 0.5000 0.5000 0.7532

* SG: P4mm
* volume: 16.44 Å³/atom
* total DFT energy (no corrections): -37.699 eV/atom
* crystal system: tetragonal
* DOS at the Fermi energy: 2.5 states/eV/f.u.
* energy of formation: 0.327 eV per atom
* total magnetization: 0.0 Bohr magnetons per cell
* excess energy over the best structure of this formula in the dataset: 160 meV/atom

***

(3)
Cr2FeAgGe at its PBEsol-relaxed geometry. Source: Alexandria, functional SCAN.

Cell: 4.1735 4.1735 4.7592 Å, 90.00 90.00 90.00°
Positions (direct):
Fe 0.0000 0.0000 0.0000
Ag 0.0000 0.0000 0.5000
Cr 0.0000 0.5000 0.0000
Cr 0.5000 0.0000 0.0000
Ge 0.5000 0.5000 0.5000

* SG: P4/mmm
* volume: 16.58 Å³/atom
* total DFT energy (no corrections): -20.061 eV/atom
* crystal system: tetragonal
* DOS at the Fermi energy: 4.0 states/eV/f.u.
* energy of formation: 1.010 eV per atom
* total magnetization: 4.9 Bohr magnetons per cell

***

(4)
YAl2ZnOs at its PBEsol-relaxed geometry. Source: Alexandria, functional SCAN.

Cell: 4.4822 4.4822 4.7275 Å, 90.00 90.00 90.00°
Positions (direct):
Zn 0.0000 0.0000 0.0000
Os 0.0000 0.0000 0.5000
Y 0.5000 0.5000 0.5000
Al 0.0000 0.5000 0.0000
Al 0.5000 0.0000 0.0000

* SG: P4/mmm
* volume: 19.00 Å³/atom
* total DFT energy (no corrections): -25.416 eV/atom
* crystal system: tetragonal
* DOS at the Fermi energy: 3.3 states/eV/f.u.
* energy of formation: 0.332 eV per atom
* total magnetization: 0.0 Bohr magnetons per cell